Here is a relaxed CoTc2Te crystal from Alexandria via LeMat-Bulk. Energies are from GGA-PBE.

## Properties
**Raw formation energy**: 360 meV per atom
**D(E_F)**: 4.213 states/eV/f.u.

a = 3.940 Å, b = 3.940 Å, c = 7.661 Å
α = 90.00°, β = 90.00°, γ = 90.00°
Space group I-4m2 (No. 119)
Symmetry-distinct sites (fractional):
1 Co 0.000 0.000 0.000 [2 per cell]
2 Tc 0.000 0.000 0.500 [2 per cell]
3 Tc 0.000 0.500 0.250 [2 per cell]
4 Te 0.000 0.500 0.750 [2 per cell]


Here is a relaxed TbPrErCd crystal from Alexandria via LeMat-Bulk. Energies are from GGA-PBE.

## Properties
**Distance to the lowest polymorph of the same formula**: 113 meV/atom
**D(E_F)**: 5.341 states/eV/f.u.
**Formation energy from the elements**: -0.15 eV/f.u.

a = 7.796 Å, b = 7.796 Å, c = 7.796 Å
α = 90.00°, β = 90.00°, γ = 90.00°
Space group F-43m (No. 216)
Symmetry-distinct sites (fractional):
1 Tb 0.000 0.000 0.000 [4 per cell]
2 Pr 0.000 0.000 0.500 [4 per cell]
3 Er 0.250 0.250 0.750 [4 per cell]
4 Cd 0.250 0.250 0.250 [4 per cell]


Here is a relaxed RbBaLi2 crystal from Alexandria via LeMat-Bulk. Energies are from GGA-PBE.

## Properties
**Distance to the lowest polymorph of the same formula**: 47 meV/atom
**D(E_F)**: 3.367 states/eV/f.u.
**Formation energy from the elements**: 0.72 eV/f.u.

a = 9.101 Å, b = 9.101 Å, c = 9.101 Å
α = 90.00°, β = 90.00°, γ = 90.00°
Space group Fm-3m (No. 225)
Symmetry-distinct sites (fractional):
1 Rb 0.000 0.000 0.000 [4 per cell]
2 Ba 0.000 0.000 0.500 [4 per cell]
3 Li 0.250 0.250 0.250 [8 per cell]


Here is a relaxed ErNpAgS4 crystal from Alexandria via LeMat-Bulk. Energies are from GGA-PBE.

## Properties
**Raw formation energy**: -1298 meV per atom
**D(E_F)**: 10.397 states/eV/f.u.

a = 7.854 Å, b = 8.050 Å, c = 11.171 Å
α = 90.00°, β = 90.00°, γ = 90.00°
Space group Imma (No. 74)
Symmetry-distinct sites (fractional):
1 Er 0.250 0.250 0.250 [4 per cell]
2 Np 0.000 0.000 0.000 [4 per cell]
3 Ag 0.000 0.250 0.631 [4 per cell]
4 S 0.000 0.018 0.240 [8 per cell]
5 S 0.231 0.250 0.007 [8 per cell]